VASP calculation (GGA-PBE) on a relaxed structure of Dy3Al7Pd4.

Calculated values
VASP energy in eV/atom: -5.137
Calculated formation energy in eV per atom: -0.80

```
data_Dy3Al7Pd4
_chemical_formula_sum 'Dy6 Al14 Pd8'
_space_group_name_H-M_alt 'C 1 2/m 1'
_space_group_IT_number 12
_cell_length_a 15.6802
_cell_length_b 4.2822
_cell_length_c 9.4214
_cell_angle_alpha 90.00
_cell_angle_beta 124.91
_cell_angle_gamma 90.00
loop_
_space_group_symop_operation_xyz
'x,y,z'
'-x,-y,-z'
'-x,y,-z'
'x,-y,z'
'x+1/2,y+1/2,z'
'-x+1/2,-y+1/2,-z'
'-x+1/2,y+1/2,-z'
'x+1/2,-y+1/2,z'
loop_
_atom_site_label
_atom_site_type_symbol
_atom_site_fract_x
_atom_site_fract_y
_atom_site_fract_z
Dy1 Dy 0.0000 0.0000 0.0000
Dy2 Dy 0.1924 0.5000 0.6942
Al1 Al 0.0000 0.0000 0.5000
Al2 Al 0.0041 0.5000 0.2953
Al3 Al 0.1503 0.0000 0.4216
Al4 Al 0.1808 0.5000 0.0260
Pd1 Pd 0.1184 0.0000 0.8415
Pd2 Pd 0.1618 0.5000 0.2843
```

VASP calculation (GGA-PBE) on a relaxed structure of Dy5Al4Pd.

Calculated values
VASP energy in eV/atom: -4.814
Calculated formation energy in eV per atom: -0.50

```
data_Dy5Al4Pd
_chemical_formula_sum 'Dy5 Al4 Pd1'
_space_group_name_H-M_alt 'P 4/m m m'
_space_group_IT_number 123
_space_group_name_Hall '-P 4 2'
_cell_length_a 3.5839
_cell_length_b 3.5839
_cell_length_c 17.8787
_cell_angle_alpha 90.00
_cell_angle_beta 90.00
_cell_angle_gamma 90.00
loop_
_atom_site_label
_atom_site_type_symbol
_atom_site_fract_x
_atom_site_fract_y
_atom_site_fract_z
Dy1 Dy 0.0000 0.0000 0.0000
Dy2 Dy 0.0000 0.0000 0.2023
Dy3 Dy 0.0000 0.0000 0.4056
Al1 Al 0.5000 0.5000 0.1009
Al2 Al 0.5000 0.5000 0.3029
Pd1 Pd 0.5000 0.5000 0.5000
```

VASP calculation (GGA-PBE) on a relaxed structure of Dy3Al6Pd20.

Calculated values
VASP energy in eV/atom: -5.605
Calculated formation energy in eV per atom: -0.77

```
data_Dy3Al6Pd20
_chemical_formula_sum 'Dy12 Al24 Pd80'
_space_group_name_H-M_alt 'F m -3 m'
_space_group_IT_number 225
_space_group_name_Hall '-F 4 2 3'
_cell_length_a 12.4431
_cell_length_b 12.4431
_cell_length_c 12.4431
_cell_angle_alpha 90.00
_cell_angle_beta 90.00
_cell_angle_gamma 90.00
loop_
_atom_site_label
_atom_site_type_symbol
_atom_site_fract_x
_atom_site_fract_y
_atom_site_fract_z
Dy1 Dy 0.0000 0.0000 0.0000
Dy2 Dy 0.2500 0.2500 0.2500
Al1 Al 0.0000 0.0000 0.2733
Pd1 Pd 0.0000 0.1717 0.1717
Pd2 Pd 0.1208 0.1208 0.3792
```

VASP calculation (GGA-PBE) on a relaxed structure of Dy2AlPd.

Calculated values
VASP energy in eV/atom: -5.113
Calculated formation energy in eV per atom: -0.58

```
data_Dy2AlPd
_chemical_formula_sum 'Dy8 Al4 Pd4'
_space_group_name_H-M_alt 'F m -3 m'
_space_group_IT_number 225
_space_group_name_Hall '-F 4 2 3'
_cell_length_a 7.1511
_cell_length_b 7.1511
_cell_length_c 7.1511
_cell_angle_alpha 90.00
_cell_angle_beta 90.00
_cell_angle_gamma 90.00
loop_
_atom_site_label
_atom_site_type_symbol
_atom_site_fract_x
_atom_site_fract_y
_atom_site_fract_z
Dy1 Dy 0.2500 0.2500 0.2500
Al1 Al 0.0000 0.0000 0.0000
Pd1 Pd 0.0000 0.0000 0.5000
```

VASP calculation (GGA-PBE) on a relaxed structure of DyAlPd6.

Calculated values
VASP energy in eV/atom: -5.675
Calculated formation energy in eV per atom: -0.74

```
data_DyAlPd6
_chemical_formula_sum 'Dy1 Al1 Pd6'
_space_group_name_H-M_alt 'P 4/m m m'
_space_group_IT_number 123
_space_group_name_Hall '-P 4 2'
_cell_length_a 4.0508
_cell_length_b 4.0508
_cell_length_c 7.9114
_cell_angle_alpha 90.00
_cell_angle_beta 90.00
_cell_angle_gamma 90.00
loop_
_atom_site_label
_atom_site_type_symbol
_atom_site_fract_x
_atom_site_fract_y
_atom_site_fract_z
Dy1 Dy 0.0000 0.0000 0.0000
Al1 Al 0.0000 0.0000 0.5000
Pd1 Pd 0.0000 0.5000 0.2683
Pd2 Pd 0.5000 0.5000 0.0000
Pd3 Pd 0.5000 0.5000 0.5000
```

VASP calculation (GGA-PBE) on a relaxed structure of Dy2Al9Pd3.

Calculated values
VASP energy in eV/atom: -4.866
Calculated formation energy in eV per atom: -0.69

```
data_Dy2Al9Pd3
_chemical_formula_sum 'Dy8 Al36 Pd12'
_space_group_name_H-M_alt 'C 1 2/c 1'
_space_group_IT_number 15
_cell_length_a 13.3157
_cell_length_b 7.6562
_cell_length_c 10.4491
_cell_angle_alpha 90.00
_cell_angle_beta 114.98
_cell_angle_gamma 90.00
loop_
_space_group_symop_operation_xyz
'x,y,z'
'-x,-y,-z'
'-x,y,-z+1/2'
'x,-y,z+1/2'
'x+1/2,y+1/2,z'
'-x+1/2,-y+1/2,-z'
'-x+1/2,y+1/2,-z+1/2'
'x+1/2,-y+1/2,z+1/2'
loop_
_atom_site_label
_atom_site_type_symbol
_atom_site_fract_x
_atom_site_fract_y
_atom_site_fract_z
Dy1 Dy 0.1692 0.0839 0.2501
Al1 Al 0.0000 0.3730 0.2500
Al2 Al 0.0585 0.0836 0.9247
Al3 Al 0.1034 0.3149 0.7480
Al4 Al 0.1031 0.4154 0.0593
Al5 Al 0.2247 0.4171 0.4265
Pd1 Pd 0.0855 0.2425 0.4998
Pd2 Pd 0.2500 0.2500 0.0000
```

- What is the formula in the fifth record?
  DyAlPd6

- What is the formula in the first record?
  Dy3Al7Pd4